Entry from Alexandria: TaAgO2F after structural relaxation (GGA-PBE).

POSCAR file:
```
TaAgO2F
1.0
-3.6635 1.2295 1.5705
1.1116 -1.4683 3.7427
1.6027 3.5863 0.9309
O Ag F Ta
2 1 1 1
Direct
0.5000 0.0000 0.0000 O
0.0000 0.5000 0.0000 O
0.0000 0.0000 0.0000 Ag
0.0000 0.0000 0.5000 F
0.5000 0.5000 0.5000 Ta
```

ΔE_f (raw)   1.5 eV/f.u.
N(E_F)   5.7 states/eV/cell